# 1
SrLi2Ho2Pb2 | PBE | optimized geometry

Its energy of formation is -2.5 eV per formula unit. As for the crystal system: trigonal.

Unit cell a=4.9229 b=4.9229 c=28.2877 alpha=90.00 beta=90.00 gamma=120.00
Space group R-3m (No. 166, hexagonal axes)
One atom of each set of equivalent atoms:
Sr (0.0000, 0.0000, 0.0000) x3
Li (0.0000, 0.0000, 0.4221) x6
Ho (0.0000, 0.0000, 0.1323) x6
Pb (0.0000, 0.0000, 0.2533) x6

---

# 2
BeCoSe2 | PBE | optimized geometry

As for the crystal system: tetragonal. The calculated total energy is -33.59 eV per cell.

Unit cell a=3.3239 b=3.3239 c=16.2666 alpha=90.00 beta=90.00 gamma=90.00
Space group I-4m2 (No. 119)
One atom of each set of equivalent atoms:
Be (0.0000, 0.0000, 0.0000) x2
Co (0.0000, 0.5000, 0.7500) x2
Se (0.0000, 0.0000, 0.5000) x2
Se (0.0000, 0.5000, 0.2500) x2

---

# 3
HfMn2Nb | PBE | optimized geometry

Its energy of formation is 1.9 eV per formula unit. As for the crystal system: tetragonal.

Unit cell a=6.9005 b=6.9005 c=5.5966 alpha=90.00 beta=90.00 gamma=90.00
Space group I-42d (No. 122)
One atom of each set of equivalent atoms:
Hf (0.0000, 0.0000, 0.0000) x4
Mn (0.2336, 0.2500, 0.6250) x8
Nb (0.0000, 0.0000, 0.5000) x4

---

# 4
Tb2Pr4HoMg | PBE | optimized geometry

Its energy of formation is 0.4 eV per formula unit. As for the crystal system: tetragonal.

Unit cell a=5.8380 b=5.8380 c=7.7426 alpha=90.00 beta=90.00 gamma=90.00
Space group P4/mmm (No. 123)
One atom of each set of equivalent atoms:
Tb (0.0000, 0.0000, 0.0000) x1
Tb (0.5000, 0.5000, 0.5000) x1
Pr (0.0000, 0.5000, 0.2397) x4
Ho (0.0000, 0.0000, 0.5000) x1
Mg (0.5000, 0.5000, 0.0000) x1

---

# 5
Dy6ScHg2 | PBE | optimized geometry

Its energy of formation is -1.8 eV per formula unit. As for the crystal system: monoclinic.

Unit cell a=12.3841 b=3.6735 c=11.7077 alpha=90.00 beta=108.36 gamma=90.00
Space group C2/m (No. 12)
One atom of each set of equivalent atoms:
Dy (0.0207, 0.0000, 0.3375) x4
Dy (0.1830, 0.5000, 0.8786) x4
Dy (0.1888, 0.5000, 0.5895) x4
Sc (0.0000, 0.0000, 0.0000) x2
Hg (0.1369, 0.5000, 0.1889) x4

---

# 6
BaSr2As | PBE | optimized geometry

Its energy of formation is -2.5 eV per formula unit. As for the crystal system: trigonal.

Unit cell a=4.5736 b=4.5736 c=34.3009 alpha=90.00 beta=90.00 gamma=120.00
Space group R3m (No. 160, hexagonal axes)
One atom of each set of equivalent atoms:
Ba (0.0000, 0.0000, 0.0000) x3
Sr (0.0000, 0.0000, 0.2131) x3
Sr (0.0000, 0.0000, 0.4331) x3
As (0.0000, 0.0000, 0.7196) x3

---

# 7
NdMg11Ni | PBE | optimized geometry

Its energy of formation is -0.8 eV per formula unit. As for the crystal system: monoclinic.

Unit cell a=5.6024 b=14.4337 c=7.6432 alpha=90.00 beta=110.05 gamma=90.00
Space group C2/m (No. 12)
One atom of each set of equivalent atoms:
Nd (0.0000, 0.0000, 0.0000) x2
Mg (0.0000, 0.0000, 0.5000) x2
Mg (0.0941, 0.3983, 0.2224) x8
Mg (0.1900, 0.1685, 0.3625) x8
Mg (0.2500, 0.2500, 0.0000) x4
Ni (0.0000, 0.5000, 0.5000) x2

---

# 8
EuYCu2 | PBE | optimized geometry

Its energy of formation is -0.6 eV per formula unit. As for the crystal system: tetragonal.

Unit cell a=3.5685 b=3.5685 c=7.1240 alpha=90.00 beta=90.00 gamma=90.00
Space group P4/mmm (No. 123)
One atom of each set of equivalent atoms:
Eu (0.0000, 0.0000, 0.0000) x1
Y (0.0000, 0.0000, 0.5000) x1
Cu (0.5000, 0.5000, 0.2875) x2

---

# 9
Ac2EuPb | PBE | optimized geometry

Its energy of formation is -1.1 eV per formula unit. As for the crystal system: tetragonal.

Unit cell a=5.3969 b=5.3969 c=5.1173 alpha=90.00 beta=90.00 gamma=90.00
Space group P4/mmm (No. 123)
One atom of each set of equivalent atoms:
Ac (0.0000, 0.5000, 0.0000) x2
Eu (0.0000, 0.0000, 0.5000) x1
Pb (0.5000, 0.5000, 0.5000) x1

---

# 10
Mg3ZrSc8 | PBE | optimized geometry

Its energy of formation is 6.5 eV per formula unit. As for the crystal system: tetragonal.

Unit cell a=7.8497 b=7.8497 c=10.9932 alpha=90.00 beta=90.00 gamma=90.00
Space group I-42m (No. 121)
One atom of each set of equivalent atoms:
Mg (0.0000, 0.0000, 0.0000) x2
Mg (0.0000, 0.5000, 0.2500) x4
Zr (0.0000, 0.0000, 0.5000) x2
Sc (0.1375, 0.1375, 0.7212) x8
Sc (0.2342, 0.2342, 0.4512) x8

---

# 11
TmScCo | PBE | optimized geometry

Its energy of formation is -0.3 eV per formula unit. As for the crystal system: cubic.

Unit cell a=6.3655 b=6.3655 c=6.3655 alpha=90.00 beta=90.00 gamma=90.00
Space group F-43m (No. 216)
One atom of each set of equivalent atoms:
Tm (0.0000, 0.0000, 0.0000) x4
Sc (0.0000, 0.0000, 0.5000) x4
Co (0.2500, 0.2500, 0.2500) x4

---

# 12
Pm2CuAu6 | PBE | optimized geometry

Its energy of formation is -4.2 eV per formula unit. As for the crystal system: orthorhombic.

Unit cell a=7.5762 b=13.4942 c=3.9711 alpha=90.00 beta=90.00 gamma=90.00
Space group Cmmm (No. 65)
One atom of each set of equivalent atoms:
Pm (0.0000, 0.1885, 0.0000) x4
Cu (0.0000, 0.5000, 0.5000) x2
Au (0.1941, 0.3465, 0.5000) x8
Au (0.2441, 0.5000, 0.0000) x4

---

# 13
CaTb6Y2 | PBE | optimized geometry

Its energy of formation is 0.4 eV per formula unit. As for the crystal system: monoclinic.

Unit cell a=9.6648 b=5.7224 c=10.9621 alpha=90.00 beta=100.93 gamma=90.00
Space group P2_1/m (No. 11)
One atom of each set of equivalent atoms:
Ca (0.2223, 0.2500, 0.3693) x2
Tb (0.1068, 0.7500, 0.1806) x2
Tb (0.1152, 0.7500, 0.5219) x2
Tb (0.1162, 0.7500, 0.8541) x2
Tb (0.2194, 0.2500, 0.7068) x2
Tb (0.4388, 0.7500, 0.7411) x2
Tb (0.4472, 0.7500, 0.4040) x2
Y (0.2236, 0.2500, 0.0348) x2
Y (0.4449, 0.7500, 0.0760) x2

---

# 14
SiMoAs | PBE | optimized geometry

As for the crystal system: trigonal. The calculated total energy is -21.01 eV per cell.

Unit cell a=3.1099 b=3.1099 c=5.7334 alpha=90.00 beta=90.00 gamma=120.00
Space group P3m1 (No. 156)
One atom of each set of equivalent atoms:
Si (0.0000, 0.0000, 0.0000) x1
Mo (0.3333, 0.6667, 0.6826) x1
As (0.6667, 0.3333, 0.3604) x1

---

# 15
CeErCuS4 | PBE | optimized geometry

As for the crystal system: orthorhombic. The calculated total energy is -166.26 eV per cell.

Unit cell a=7.6601 b=7.9034 c=10.9143 alpha=90.00 beta=90.00 gamma=90.00
Space group Imma (No. 74)
One atom of each set of equivalent atoms:
Ce (0.0000, 0.0000, 0.0000) x4
Er (0.2500, 0.2500, 0.2500) x4
Cu (0.0000, 0.2500, 0.6287) x4
S (0.0000, 0.0054, 0.2500) x8
S (0.2502, 0.2500, 0.0005) x8

---

# 16
SrCu3P | PBE | optimized geometry

Its energy of formation is -0.1 eV per formula unit. As for the crystal system: cubic.

Unit cell a=4.5466 b=4.5466 c=4.5466 alpha=90.00 beta=90.00 gamma=90.00
Space group Pm-3m (No. 221)
One atom of each set of equivalent atoms:
Sr (0.0000, 0.0000, 0.0000) x1
Cu (0.0000, 0.5000, 0.5000) x3
P (0.5000, 0.5000, 0.5000) x1

---

# 17
SrRe2Te | PBE | optimized geometry

As for the crystal system: monoclinic. The calculated total energy is -51.19 eV per cell.

Unit cell a=5.8567 b=11.1522 c=2.9239 alpha=90.00 beta=119.58 gamma=90.00
Space group C2/m (No. 12)
One atom of each set of equivalent atoms:
Sr (0.0000, 0.0000, 0.0000) x2
Re (0.2500, 0.2500, 0.5000) x4
Te (0.0000, 0.5000, 0.0000) x2

---

# 18
Tb6Hg2TeSe3 | PBE | optimized geometry

As for the crystal system: monoclinic. The calculated total energy is -114.32 eV per cell.

Unit cell a=18.9985 b=4.0759 c=8.7319 alpha=90.00 beta=109.85 gamma=90.00
Space group C2/m (No. 12)
One atom of each set of equivalent atoms:
Tb (0.0062, 0.0000, 0.2713) x4
Tb (0.1566, 0.5000, 0.6243) x4
Tb (0.1742, 0.5000, 0.1081) x4
Hg (0.1836, 0.0000, 0.3829) x4
Te (0.0000, 0.5000, 0.0000) x2
Se (0.0000, 0.5000, 0.5000) x2
Se (0.1607, 0.0000, 0.8611) x4

---

# 19
Mn2Nb3 | PBE | optimized geometry

Its energy of formation is -0.3 eV per formula unit. As for the crystal system: tetragonal.

Unit cell a=3.1034 b=3.1034 c=15.8620 alpha=90.00 beta=90.00 gamma=90.00
Space group P4/mmm (No. 123)
One atom of each set of equivalent atoms:
Mn (0.0000, 0.0000, 0.0965) x2
Mn (0.0000, 0.0000, 0.2896) x2
Nb (0.0000, 0.0000, 0.5000) x1
Nb (0.5000, 0.5000, 0.0000) x1
Nb (0.5000, 0.5000, 0.1922) x2
Nb (0.5000, 0.5000, 0.3852) x2

---

# 20
BaSr2Li2 | PBE | optimized geometry

Its energy of formation is 0.3 eV per formula unit. As for the crystal system: monoclinic.

Unit cell a=15.4050 b=7.2516 c=9.0732 alpha=90.00 beta=118.31 gamma=90.00
Space group C2/c (No. 15)
One atom of each set of equivalent atoms:
Ba (0.0000, 0.1263, 0.2500) x4
Sr (0.2275, 0.4666, 0.8318) x8
Li (0.0379, 0.3542, 0.9311) x8